{"formula": "Sc3Ni", "functional": "meta-GGA SCAN", "state": "single point on PBEsol structure", "space_group": "Pnma (62)", "energy_ev_per_atom": -15.03, "magmom_total_mub_per_fu": 0.0, "delta_e_f_ev_per_atom": -0.31, "dos_at_fermi_per_ev_atom": 1.140, "cell": [[6.2111, 0.0000, 0.0000], [0.0000, 8.6459, 0.0000], [0.0000, 0.0000, 5.8694]], "species": ["Sc", "Sc", "Sc", "Sc", "Sc", "Sc", "Sc", "Sc", "Sc", "Sc", "Sc", "Sc", "Ni", "Ni", "Ni", "Ni"], "fractional_positions": [[0.0272, 0.2500, 0.1178], [0.1850, 0.0592, 0.6871], [0.1850, 0.4408, 0.6871], [0.3150, 0.5592, 0.1871], [0.3150, 0.9408, 0.1871], [0.4728, 0.7500, 0.6178], [0.5272, 0.2500, 0.3822], [0.6850, 0.0592, 0.8129], [0.6850, 0.4408, 0.8129], [0.8150, 0.5592, 0.3129], [0.8150, 0.9408, 0.3129], [0.9728, 0.7500, 0.8822], [0.0920, 0.7500, 0.4635], [0.4080, 0.2500, 0.9635], [0.5920, 0.7500, 0.0365], [0.9080, 0.2500, 0.5365]]}

***

{"formula": "ScNi3", "functional": "meta-GGA SCAN", "state": "single point on PBEsol structure", "space_group": "P6_3/mmc (194)", "energy_ev_per_atom": -16.06, "magmom_total_mub_per_fu": 0.6, "delta_e_f_ev_per_atom": -0.37, "dos_at_fermi_per_ev_atom": 0.743, "cell": [[5.2350, 0.0000, 0.0000], [-2.6175, 4.5337, 0.0000], [0.0000, 0.0000, 4.1470]], "species": ["Sc", "Sc", "Ni", "Ni", "Ni", "Ni", "Ni", "Ni"], "fractional_positions": [[0.3333, 0.6667, 0.2500], [0.6667, 0.3333, 0.7500], [0.1566, 0.3133, 0.7500], [0.1566, 0.8434, 0.7500], [0.3133, 0.1566, 0.2500], [0.6867, 0.8434, 0.7500], [0.8434, 0.1566, 0.2500], [0.8434, 0.6867, 0.2500]]}

***

{"formula": "ScNi2", "functional": "meta-GGA SCAN", "state": "single point on PBEsol structure", "space_group": "P4/mmm (123)", "energy_ev_per_atom": -15.59, "magmom_total_mub_per_fu": 0.0, "delta_e_f_ev_per_atom": -0.07, "dos_at_fermi_per_ev_atom": 0.621, "cell": [[3.3484, 0.0000, 0.0000], [0.0000, 3.3484, 0.0000], [0.0000, 0.0000, 4.0295]], "species": ["Sc", "Ni", "Ni"], "fractional_positions": [[0.0000, 0.0000, 0.0000], [0.0000, 0.5000, 0.5000], [0.5000, 0.0000, 0.5000]]}

***

{"formula": "Sc3Ni4", "functional": "meta-GGA SCAN", "state": "single point on PBEsol structure", "space_group": "R-3 (148)", "energy_ev_per_atom": -15.80, "magmom_total_mub_per_fu": 0.0, "delta_e_f_ev_per_atom": -0.46, "dos_at_fermi_per_ev_atom": 0.538, "cell": [[5.8635, 3.3853, 1.7104], [-5.8635, 3.3853, 1.7104], [0.0000, -6.7706, 1.7104]], "species": ["Sc", "Sc", "Sc", "Sc", "Sc", "Sc", "Ni", "Ni", "Ni", "Ni", "Ni", "Ni", "Ni", "Ni"], "fractional_positions": [[0.0216, 0.4047, 0.2760], [0.2760, 0.0216, 0.4047], [0.4047, 0.2760, 0.0216], [0.5953, 0.7240, 0.9784], [0.7240, 0.9784, 0.5953], [0.9784, 0.5953, 0.7240], [0.0000, 0.0000, 0.0000], [0.0611, 0.2252, 0.5471], [0.2252, 0.5471, 0.0611], [0.4529, 0.9389, 0.7748], [0.5000, 0.5000, 0.5000], [0.5471, 0.0611, 0.2252], [0.7748, 0.4529, 0.9389], [0.9389, 0.7748, 0.4529]]}

***

{"formula": "Sc3Ni", "functional": "meta-GGA SCAN", "state": "single point on PBEsol structure", "space_group": "Immm (71)", "energy_ev_per_atom": -14.96, "magmom_total_mub_per_fu": 0.0, "delta_e_f_ev_per_atom": -0.24, "dos_at_fermi_per_ev_atom": 1.044, "cell": [[-1.6466, 2.3793, 4.9105], [1.6466, -2.3793, 4.9105], [1.6466, 2.3793, -4.9105]], "species": ["Sc", "Sc", "Sc", "Ni"], "fractional_positions": [[0.0000, 0.0000, 0.0000], [0.2970, 0.7970, 0.5000], [0.7030, 0.2030, 0.5000], [0.5000, 0.5000, 0.0000]]}

***

{"formula": "ScNiSe2", "functional": "meta-GGA SCAN", "state": "single point on PBEsol structure", "space_group": "I-4m2 (119)", "energy_ev_per_atom": -18.27, "magmom_total_mub_per_fu": 0.0, "raw_formation_energy_ev_per_atom": -0.629, "dos_at_fermi_per_ev_atom": 0.595, "cell": [[-1.8346, 1.8346, 4.9442], [1.8346, -1.8346, 4.9442], [1.8346, 1.8346, -4.9442]], "species": ["Sc", "Ni", "Se", "Se"], "fractional_positions": [[0.0000, 0.0000, 0.0000], [0.2500, 0.7500, 0.5000], [0.5000, 0.5000, 0.0000], [0.7500, 0.2500, 0.5000]]}

***

{"formula": "Sc2NiSe", "functional": "meta-GGA SCAN", "state": "single point on PBEsol structure", "space_group": "Immm (71)", "energy_ev_per_atom": -16.84, "magmom_total_mub_per_fu": 0.0, "raw_formation_energy_ev_per_atom": -0.657, "dos_at_fermi_per_ev_atom": 0.912, "cell": [[-1.9902, 2.4671, 3.5027], [1.9902, -2.4671, 3.5027], [1.9902, 2.4671, -3.5027]], "species": ["Sc", "Sc", "Ni", "Se"], "fractional_positions": [[0.2456, 0.2456, 0.0000], [0.7544, 0.7544, 0.0000], [0.0000, 0.5000, 0.5000], [0.5000, 0.0000, 0.5000]]}

***

{"formula": "ScNiSe", "functional": "meta-GGA SCAN", "state": "single point on PBEsol structure", "space_group": "F-43m (216)", "energy_ev_per_atom": -17.30, "magmom_total_mub_per_fu": 0.0, "raw_formation_energy_ev_per_atom": -0.473, "dos_at_fermi_per_ev_atom": 0.558, "cell": [[0.0000, 3.0243, 3.0243], [3.0243, 0.0000, 3.0243], [3.0243, 3.0243, 0.0000]], "species": ["Sc", "Ni", "Se"], "fractional_positions": [[0.0000, 0.0000, 0.0000], [0.7500, 0.7500, 0.7500], [0.2500, 0.2500, 0.2500]]}

***

{"formula": "ScNiSe", "functional": "meta-GGA SCAN", "state": "single point on PBEsol structure", "space_group": "I4mm (107)", "energy_ev_per_atom": -17.45, "magmom_total_mub_per_fu": 0.0, "raw_formation_energy_ev_per_atom": -0.623, "dos_at_fermi_per_ev_atom": 0.739, "cell": [[-1.7498, 1.7498, 3.9380], [1.7498, -1.7498, 3.9380], [1.7498, 1.7498, -3.9380]], "species": ["Sc", "Ni", "Se"], "fractional_positions": [[0.0000, 0.0000, 0.0000], [0.6555, 0.6555, 0.0000], [0.3465, 0.3465, 0.0000]]}

***

{"formula": "ScSi2Ni", "functional": "meta-GGA SCAN", "state": "single point on PBEsol structure", "space_group": "Pmmm (47)", "energy_ev_per_atom": -13.01, "magmom_total_mub_per_fu": 0.0, "raw_formation_energy_ev_per_atom": -0.396, "dos_at_fermi_per_ev_atom": 0.585, "cell": [[2.8626, 0.0000, 0.0000], [0.0000, 2.8845, 0.0000], [0.0000, 0.0000, 6.6403]], "species": ["Sc", "Si", "Si", "Ni"], "fractional_positions": [[0.0000, 0.0000, 0.0000], [0.5000, 0.5000, 0.2949], [0.5000, 0.5000, 0.7051], [0.0000, 0.0000, 0.5000]]}

***

{"formula": "Sc3Si4Ni11", "functional": "meta-GGA SCAN", "state": "single point on PBEsol structure", "space_group": "P6_3/mmc (194)", "energy_ev_per_atom": -15.10, "magmom_total_mub_per_fu": 0.0, "raw_formation_energy_ev_per_atom": -0.620, "dos_at_fermi_per_ev_atom": 0.743, "cell": [[7.8461, 0.0000, 0.0000], [-3.9230, 6.7949, 0.0000], [0.0000, 0.0000, 8.2260]], "species": ["Sc", "Sc", "Sc", "Sc", "Sc", "Sc", "Si", "Si", "Si", "Si", "Si", "Si", "Si", "Si", "Ni", "Ni", "Ni", "Ni", "Ni", "Ni", "Ni", "Ni", "Ni", "Ni", "Ni", "Ni", "Ni", "Ni", "Ni", "Ni", "Ni", "Ni", "Ni", "Ni", "Ni", "Ni"], "fractional_positions": [[0.1976, 0.3952, 0.2500], [0.1976, 0.8024, 0.2500], [0.3952, 0.1976, 0.7500], [0.6048, 0.8024, 0.2500], [0.8024, 0.1976, 0.7500], [0.8024, 0.6048, 0.7500], [0.0000, 0.0000, 0.2500], [0.0000, 0.0000, 0.7500], [0.0000, 0.5000, 0.0000], [0.0000, 0.5000, 0.5000], [0.5000, 0.0000, 0.0000], [0.5000, 0.0000, 0.5000], [0.5000, 0.5000, 0.0000], [0.5000, 0.5000, 0.5000], [0.1231, 0.5615, 0.7500], [0.1531, 0.3062, 0.5928], [0.1531, 0.3062, 0.9072], [0.1531, 0.8469, 0.5928], [0.1531, 0.8469, 0.9072], [0.3062, 0.1531, 0.0928], [0.3062, 0.1531, 0.4072], [0.3333, 0.6667, 0.0025], [0.3333, 0.6667, 0.4975], [0.4385, 0.5615, 0.7500], [0.4385, 0.8769, 0.7500], [0.5615, 0.1231, 0.2500], [0.5615, 0.4385, 0.2500], [0.6667, 0.3333, 0.5025], [0.6667, 0.3333, 0.9975], [0.6938, 0.8469, 0.5928], [0.6938, 0.8469, 0.9072], [0.8469, 0.1531, 0.0928], [0.8469, 0.1531, 0.4072], [0.8469, 0.6938, 0.0928], [0.8469, 0.6938, 0.4072], [0.8769, 0.4385, 0.2500]]}

***

{"formula": "ScSiNi2", "functional": "meta-GGA SCAN", "state": "single point on PBEsol structure", "space_group": "F-43m (216)", "energy_ev_per_atom": -14.48, "magmom_total_mub_per_fu": 0.0, "raw_formation_energy_ev_per_atom": -0.327, "dos_at_fermi_per_ev_atom": 0.655, "cell": [[0.0000, 2.9583, 2.9583], [2.9583, 0.0000, 2.9583], [2.9583, 2.9583, 0.0000]], "species": ["Sc", "Si", "Ni", "Ni"], "fractional_positions": [[0.0000, 0.0000, 0.0000], [0.7500, 0.7500, 0.7500], [0.2500, 0.2500, 0.2500], [0.5000, 0.5000, 0.5000]]}